Computed, not measured: a relaxed structure of Li2CuSi2O6 at the GGA-PBEsol level of DFT.

Computed properties:
* total energy: -75.5 eV per formula unit
* formation energy (no corrections): -2.200 eV/atom
* calculated density: 3.142 g/cm3

Lattice parameters (Å, degrees): 5.0470 5.0470 10.1515 103.28 103.28 94.37
Sites, in units of the cell vectors:
Li (0.4293, 0.4805, 0.3351)
O (0.7338, 0.5498, 0.7764)
O (0.1886, 0.2396, 0.1652)
O (0.4896, 0.9386, 0.6652)
Li (0.7305, 0.1793, 0.8351)
Cu (0.3179, 0.3179, 0.0000)
O (0.0743, 0.0233, 0.8348)
Si (0.9527, 0.8058, 0.3375)
Li (0.3442, 0.8954, 0.1649)
O (0.7998, 0.4838, 0.2764)
Li (0.1454, 0.0942, 0.6649)
O (0.2733, 0.8243, 0.3348)
O (0.2073, 0.5233, 0.7236)
O (0.7733, 0.9573, 0.2236)
O (0.4288, 0.4034, 0.5107)
Si (0.4684, 0.6152, 0.6625)
O (0.6534, 0.1788, 0.0107)
O (0.8927, 0.9181, 0.4893)
Si (0.0558, 0.7027, 0.8375)
O (0.1681, 0.6427, 0.9893)
Si (0.8652, 0.2184, 0.1625)
Cu (0.5679, 0.0679, 0.5000)